# 1
The following is a PBE-GGA calculation of an optimized crystal structure of ReAg2O4, from the Alexandria database.

The total magnetization comes out at 0.000 μB/cell. For the uncorrected formation energy, the calculation gives -0.87 eV/atom. As for the crystal system: tetragonal.

Unit cell a=4.346 b=4.346 c=6.973 alpha=108.16 beta=108.16 gamma=90.00
Fractional positions:
Re  0.500  0.500  0.000
Ag  0.750  0.250  0.500
Ag  0.250  0.750  0.500
O  0.814  0.356  0.170
O  0.356  0.814  0.170
O  0.644  0.644  0.830
O  0.186  0.186  0.830

---

# 2
The following is a PBE-GGA calculation of an optimized crystal structure of Re3AgO, from the Alexandria database.

The total magnetization comes out at 0.000 μB/cell. For the uncorrected formation energy, the calculation gives 0.70 eV/atom. As for the crystal system: cubic.

Unit cell a=4.118 b=4.118 c=4.118 alpha=90.00 beta=90.00 gamma=90.00
Fractional positions:
Re  0.000  0.500  0.000
Re  0.000  0.000  0.500
Re  0.500  0.000  0.000
O  0.000  0.000  0.000
Ag  0.500  0.500  0.500

---

# 3
The following is a PBE-GGA calculation of an optimized crystal structure of ScRe2AgO8, from the Alexandria database.

The total magnetization comes out at 0.000 μB/cell. For the uncorrected formation energy, the calculation gives -1.66 eV/atom. As for the crystal system: trigonal.

Unit cell a=5.973 b=5.973 c=6.598 alpha=90.00 beta=90.00 gamma=120.00
Fractional positions:
Sc  0.000  0.000  0.500
Re  0.667  0.333  0.234
Re  0.333  0.667  0.766
Ag  0.000  0.000  0.000
O  0.333  0.667  0.031
O  0.335  0.168  0.317
O  0.832  0.168  0.317
O  0.667  0.333  0.969
O  0.168  0.832  0.683
O  0.665  0.832  0.683
O  0.168  0.335  0.683
O  0.832  0.665  0.317

---

Please write out number 2 again, unchanged.
The following is a PBE-GGA calculation of an optimized crystal structure of Re3AgO, from the Alexandria database.

The total magnetization comes out at 0.000 μB/cell. For the uncorrected formation energy, the calculation gives 0.70 eV/atom. As for the crystal system: cubic.

Unit cell a=4.118 b=4.118 c=4.118 alpha=90.00 beta=90.00 gamma=90.00
Fractional positions:
Re  0.000  0.500  0.000
Re  0.000  0.000  0.500
Re  0.500  0.000  0.000
O  0.000  0.000  0.000
Ag  0.500  0.500  0.500